# 1
The following is a GGA-PBE calculation of a relaxed MnVPd3 crystal, from the Alexandria database.

relative energy among the computed polymorphs: 0 meV/atom
magnetic moment: 0.464 μB per atom
crystal system: triclinic
E_form: -0.2194 eV per atom

a = 4.6970 Å, b = 4.7011 Å, c = 7.4085 Å
α = 84.43°, β = 71.57°, γ = 72.17°
Space group P-1 (No. 2)
One atom of each set of equivalent atoms:
Mn  0.1487  0.2498  0.2032
V  0.3530  0.2497  0.7942
Pd  0.0548  0.7498  0.3905
Pd  0.2505  0.7499  0.9991
Pd  0.4463  0.7501  0.6072

# 2
The following is a GGA-PBE calculation of a relaxed Nb12Zn5N2 crystal, from the Alexandria database.

magnetic moment: 0.000 μB per atom
crystal system: monoclinic
energy relative to the elements, uncorrected: -0.1 eV/f.u.

a = 14.8462 Å, b = 6.7258 Å, c = 7.4629 Å
α = 90.00°, β = 120.17°, γ = 90.00°
Space group C2/m (No. 12)
One atom of each set of equivalent atoms:
Nb  0.0001  0.0000  0.1759
Nb  0.0005  0.5000  0.2003
Nb  0.1142  0.3017  0.6144
Nb  0.1603  0.2431  0.1601
Zn  0.0000  0.0000  0.5000
Zn  0.2411  0.0000  0.5098
Zn  0.2407  0.0000  0.9716
N  0.0000  0.2643  0.0000

# 3
The following is a GGA-PBE calculation of a relaxed YMg4Pt2 crystal, from the Alexandria database.

magnetic moment: 0.000 μB per atom
crystal system: tetragonal
E_form: -0.6874 eV per atom

a = 7.9936 Å, b = 7.9936 Å, c = 4.4691 Å
α = 90.00°, β = 90.00°, γ = 90.00°
Space group P4_2/mnm (No. 136)
One atom of each set of equivalent atoms:
Y  0.0000  0.0000  0.0000
Mg  0.0870  0.3346  0.5000
Pt  0.2339  0.7661  0.5000

# 4
The following is a GGA-PBE calculation of a relaxed Ba2CdGaBr crystal, from the Alexandria database.

magnetic moment: 0.000 μB per atom
crystal system: tetragonal
energy relative to the elements, uncorrected: -1.9 eV/f.u.

a = 6.2651 Å, b = 6.2651 Å, c = 5.4483 Å
α = 90.00°, β = 90.00°, γ = 90.00°
Space group P4/mmm (No. 123)
One atom of each set of equivalent atoms:
Ba  0.0000  0.5000  0.0000
Cd  0.0000  0.0000  0.5000
Ga  0.5000  0.5000  0.5000
Br  0.5000  0.5000  0.0000

# 5
The following is a GGA-PBE calculation of a relaxed HoVSi2Os crystal, from the Alexandria database.

magnetic moment: 0.142 μB per atom
crystal system: tetragonal
energy relative to the elements, uncorrected: -3.3 eV/f.u.

a = 3.9748 Å, b = 3.9748 Å, c = 10.5100 Å
α = 90.00°, β = 90.00°, γ = 90.00°
Space group I-4m2 (No. 119)
One atom of each set of equivalent atoms:
Ho  0.0000  0.0000  0.0000
V  0.0000  0.5000  0.2500
Si  0.0000  0.0000  0.3850
Os  0.0000  0.5000  0.7500

# 6
The following is a GGA-PBE calculation of a relaxed Ge3IrI crystal, from the Alexandria database.

relative energy among the computed polymorphs: 0 meV/atom
magnetic moment: 0.000 μB per atom
crystal system: cubic
energy relative to the elements, uncorrected: 0.8 eV/f.u.

a = 4.9175 Å, b = 4.9175 Å, c = 4.9175 Å
α = 90.00°, β = 90.00°, γ = 90.00°
Space group Pm-3m (No. 221)
One atom of each set of equivalent atoms:
Ge  0.0000  0.0000  0.5000
Ir  0.0000  0.0000  0.0000
I  0.5000  0.5000  0.5000

# 7
The following is a GGA-PBE calculation of a relaxed Li2LaAs2 crystal, from the Alexandria database.

magnetic moment: 0.000 μB per atom
crystal system: tetragonal
E_form: -0.9773 eV per atom

a = 4.3824 Å, b = 4.3824 Å, c = 10.2595 Å
α = 90.00°, β = 90.00°, γ = 90.00°
Space group P4/nmm (No. 129, origin choice 2)
One atom of each set of equivalent atoms:
Li  0.2500  0.2500  0.1164
Li  0.2500  0.7500  0.5000
La  0.2500  0.2500  0.7664
As  0.2500  0.2500  0.3535
As  0.2500  0.7500  0.0000

# 8
The following is a GGA-PBE calculation of a relaxed Er8FeNi2 crystal, from the Alexandria database.

relative energy among the computed polymorphs: 0 meV/atom
magnetic moment: 0.000 μB per atom
crystal system: monoclinic
E_form: -0.1454 eV per atom

a = 16.7533 Å, b = 4.9512 Å, c = 6.5527 Å
α = 90.00°, β = 106.97°, γ = 90.00°
Space group C2/m (No. 12)
One atom of each set of equivalent atoms:
Er  0.0344  0.0000  0.2964
Er  0.0916  0.5000  0.9401
Er  0.1683  0.5000  0.4727
Er  0.2002  0.0000  0.8188
Fe  0.0000  0.5000  0.5000
Ni  0.1873  0.0000  0.2106

# 9
The following is a GGA-PBE calculation of a relaxed KZnIn crystal, from the Alexandria database.

relative energy among the computed polymorphs: 31 meV/atom
magnetic moment: 0.000 μB per atom
crystal system: monoclinic
E_form: -0.0202 eV per atom

a = 6.0112 Å, b = 4.6884 Å, c = 6.6159 Å
α = 90.00°, β = 103.23°, γ = 90.00°
Space group P2_1/m (No. 11)
One atom of each set of equivalent atoms:
K  0.2472  0.2500  0.4507
Zn  0.0701  0.2500  0.9285
In  0.3428  0.7500  0.9064

# 10
The following is a GGA-PBE calculation of a relaxed BC2 crystal, from the Alexandria database.

relative energy among the computed polymorphs: 80 meV/atom
magnetic moment: 0.000 μB per atom
crystal system: orthorhombic
E_form: 0.3197 eV per atom

a = 2.5868 Å, b = 7.9045 Å, c = 3.7683 Å
α = 90.00°, β = 90.00°, γ = 90.00°
Space group Pmm2 (No. 25)
One atom of each set of equivalent atoms:
B  0.0000  0.0000  0.0000
B  0.0000  0.5000  0.2641
B  0.5000  0.3437  0.7865
C  0.0000  0.1736  0.2799
C  0.0000  0.3200  0.0304
C  0.5000  0.0000  0.7402
C  0.5000  0.1531  0.4935
C  0.5000  0.5000  0.5288

# 11
The following is a GGA-PBE calculation of a relaxed Ba2Li3Zn2 crystal, from the Alexandria database.

magnetic moment: 0.000 μB per atom
crystal system: monoclinic
E_form: -0.0927 eV per atom

a = 12.0814 Å, b = 4.5113 Å, c = 8.3423 Å
α = 90.00°, β = 115.70°, γ = 90.00°
Space group C2/m (No. 12)
One atom of each set of equivalent atoms:
Ba  0.1332  0.0000  0.2693
Li  0.0000  0.5000  0.5000
Li  0.1588  0.5000  0.9243
Zn  0.1387  0.0000  0.7026

# 12
The following is a GGA-PBE calculation of a relaxed Mg3VGe crystal, from the Alexandria database.

relative energy among the computed polymorphs: 324 meV/atom
magnetic moment: 0.772 μB per atom
crystal system: cubic
E_form: 0.9852 eV per atom

a = 5.1460 Å, b = 5.1460 Å, c = 5.1460 Å
α = 90.00°, β = 90.00°, γ = 90.00°
Space group Pm-3m (No. 221)
One atom of each set of equivalent atoms:
Mg  0.0000  0.0000  0.5000
V  0.0000  0.0000  0.0000
Ge  0.5000  0.5000  0.5000

Question: Which value of magnetic moment does entry 11 give?
Answer: 0.000 μB per atom

Question: What is the formula in the ninth record?
Answer: KZnIn